(1)
# Tb2ScPaBi4

A relaxed structure of Tb2ScPaBi4 (PBE-GGA, Alexandria).

Output
total DFT energy (no corrections) = -45.442 eV for the cell shown
ΔE_f = -0.604 eV per atom

```
data_Tb2ScPaBi4
_chemical_formula_sum 'Tb2 Sc1 Pa1 Bi4'
_cell_length_a 7.6689
_cell_length_b 4.4354
_cell_length_c 7.7072
_cell_angle_alpha 90.00
_cell_angle_beta 109.29
_cell_angle_gamma 90.00
_space_group_name_H-M_alt 'P 1 2/m 1'
_space_group_IT_number 10
loop_
_space_group_symop_operation_xyz
'x,y,z'
'-x,-y,-z'
'-x,y,-z'
'x,-y,z'
loop_
_atom_site_label
_atom_site_fract_x
_atom_site_fract_y
_atom_site_fract_z
Tb1 0.0000 0.0000 0.0000
Tb2 0.5000 0.5000 0.0000
Sc1 0.0000 0.5000 0.5000
Pa1 0.5000 0.0000 0.5000
Bi1 0.2400 0.0000 0.7393
Bi2 0.2436 0.5000 0.2540
```


(2)
# TmSc2PaBi4

A relaxed structure of TmSc2PaBi4 (PBE-GGA, Alexandria).

Output
total DFT energy (no corrections) = -46.405 eV for the cell shown
ΔE_f = -0.531 eV per atom

```
data_TmSc2PaBi4
_chemical_formula_sum 'Tm1 Sc2 Pa1 Bi4'
_cell_length_a 7.5456
_cell_length_b 4.3594
_cell_length_c 7.5711
_cell_angle_alpha 90.00
_cell_angle_beta 109.32
_cell_angle_gamma 90.00
_space_group_name_H-M_alt 'P 1 2/m 1'
_space_group_IT_number 10
loop_
_space_group_symop_operation_xyz
'x,y,z'
'-x,-y,-z'
'-x,y,-z'
'x,-y,z'
loop_
_atom_site_label
_atom_site_fract_x
_atom_site_fract_y
_atom_site_fract_z
Tm1 0.0000 0.0000 0.0000
Sc1 0.5000 0.0000 0.5000
Sc2 0.5000 0.5000 0.0000
Pa1 0.0000 0.5000 0.5000
Bi1 0.2625 0.5000 0.2523
Bi2 0.2658 0.0000 0.7583
```


(3)
# Y2ScPaBi4

A relaxed structure of Y2ScPaBi4 (PBE-GGA, Alexandria).

Output
total DFT energy (no corrections) = -49.175 eV for the cell shown
ΔE_f = -0.612 eV per atom

```
data_Y2ScPaBi4
_chemical_formula_sum 'Y2 Sc1 Pa1 Bi4'
_cell_length_a 7.6658
_cell_length_b 4.4291
_cell_length_c 7.6985
_cell_angle_alpha 90.00
_cell_angle_beta 109.28
_cell_angle_gamma 90.00
_space_group_name_H-M_alt 'P 1 2/m 1'
_space_group_IT_number 10
loop_
_space_group_symop_operation_xyz
'x,y,z'
'-x,-y,-z'
'-x,y,-z'
'x,-y,z'
loop_
_atom_site_label
_atom_site_fract_x
_atom_site_fract_y
_atom_site_fract_z
Y1 0.0000 0.0000 0.0000
Y2 0.5000 0.5000 0.0000
Sc1 0.0000 0.5000 0.5000
Pa1 0.5000 0.0000 0.5000
Bi1 0.2401 0.0000 0.7399
Bi2 0.2433 0.5000 0.2533
```


(4)
# PaBiSe3

A relaxed structure of PaBiSe3 (PBE-GGA, Alexandria).

Output
total DFT energy (no corrections) = -56.162 eV for the cell shown
ΔE_f (raw) = -0.8501 eV/atom
ΔE to the lowest computed polymorph = 0.1023 eV/atom

```
data_PaBiSe3
_chemical_formula_sum 'Pa2 Bi2 Se6'
_cell_length_a 7.3536
_cell_length_b 7.3811
_cell_length_c 7.7131
_cell_angle_alpha 65.40
_cell_angle_beta 85.18
_cell_angle_gamma 60.85
_space_group_name_H-M_alt 'P -1'
_space_group_IT_number 2
loop_
_space_group_symop_operation_xyz
'x,y,z'
'-x,-y,-z'
loop_
_atom_site_label
_atom_site_fract_x
_atom_site_fract_y
_atom_site_fract_z
Pa1 0.1649 0.1641 0.0105
Bi1 0.4058 0.8428 0.5265
Se1 0.0729 0.0200 0.7612
Se2 0.1835 0.4062 0.1970
Se3 0.4594 0.2703 0.7894
```


(5)
# Pa4Bi3Se2

A relaxed structure of Pa4Bi3Se2 (PBE-GGA, Alexandria).

Output
total DFT energy (no corrections) = -122.825 eV for the cell shown
ΔE_f (raw) = -0.5352 eV/atom

```
data_Pa4Bi3Se2
_chemical_formula_sum 'Pa8 Bi6 Se4'
_cell_length_a 13.1770
_cell_length_b 4.2020
_cell_length_c 9.4467
_cell_angle_alpha 90.00
_cell_angle_beta 95.13
_cell_angle_gamma 90.00
_space_group_name_H-M_alt 'C 1 2/m 1'
_space_group_IT_number 12
loop_
_space_group_symop_operation_xyz
'x,y,z'
'-x,-y,-z'
'-x,y,-z'
'x,-y,z'
'x+1/2,y+1/2,z'
'-x+1/2,-y+1/2,-z'
'-x+1/2,y+1/2,-z'
'x+1/2,-y+1/2,z'
loop_
_atom_site_label
_atom_site_fract_x
_atom_site_fract_y
_atom_site_fract_z
Pa1 0.0742 0.0000 0.1745
Pa2 0.1670 0.5000 0.5971
Bi1 0.0000 0.0000 0.5000
Bi2 0.1184 0.5000 0.9179
Se1 0.2025 0.5000 0.2961
```


(6)
# PaBiSe4

A relaxed structure of PaBiSe4 (PBE-GGA, Alexandria).

Output
total DFT energy (no corrections) = -64.071 eV for the cell shown
ΔE_f (raw) = -0.7867 eV/atom
ΔE to the lowest computed polymorph = 0.1578 eV/atom

```
data_PaBiSe4
_chemical_formula_sum 'Pa2 Bi2 Se8'
_cell_length_a 7.0950
_cell_length_b 7.0266
_cell_length_c 6.9885
_cell_angle_alpha 90.00
_cell_angle_beta 90.04
_cell_angle_gamma 90.00
_space_group_name_H-M_alt 'P 1 21/c 1'
_space_group_IT_number 14
loop_
_space_group_symop_operation_xyz
'x,y,z'
'-x,-y,-z'
'-x,y+1/2,-z+1/2'
'x,-y+1/2,z+1/2'
loop_
_atom_site_label
_atom_site_fract_x
_atom_site_fract_y
_atom_site_fract_z
Pa1 0.0000 0.0000 0.0000
Bi1 0.5000 0.0000 0.5000
Se1 0.1456 0.1598 0.3409
Se2 0.3354 0.6420 0.3604
```


(7)
# Pa2BiSe

A relaxed structure of Pa2BiSe (PBE-GGA, Alexandria).

Output
total DFT energy (no corrections) = -86.010 eV for the cell shown
ΔE_f (raw) = -0.5782 eV/atom
ΔE to the lowest computed polymorph = 0.0692 eV/atom

```
data_Pa2BiSe
_chemical_formula_sum 'Pa6 Bi3 Se3'
_cell_length_a 4.1186
_cell_length_b 4.1186
_cell_length_c 22.6673
_cell_angle_alpha 90.00
_cell_angle_beta 90.00
_cell_angle_gamma 120.00
_space_group_name_H-M_alt 'R 3 m'
_space_group_IT_number 160
_space_group_name_Hall 'R 3 -2"'
loop_
_atom_site_label
_atom_site_fract_x
_atom_site_fract_y
_atom_site_fract_z
Pa1 0.0000 0.0000 0.0000
Pa2 0.0000 0.0000 0.1914
Bi1 0.0000 0.0000 0.4273
Se1 0.0000 0.0000 0.5964
```


(8)
# PaBi2Se5

A relaxed structure of PaBi2Se5 (PBE-GGA, Alexandria).

Output
total DFT energy (no corrections) = -160.690 eV for the cell shown
ΔE_f (raw) = -0.6865 eV/atom

```
data_PaBi2Se5
_chemical_formula_sum 'Pa4 Bi8 Se20'
_cell_length_a 12.2620
_cell_length_b 8.6083
_cell_length_c 8.2040
_cell_angle_alpha 90.00
_cell_angle_beta 90.00
_cell_angle_gamma 90.00
_space_group_name_H-M_alt 'P n m a'
_space_group_IT_number 62
loop_
_space_group_symop_operation_xyz
'x,y,z'
'-x,-y,-z'
'-x+1/2,-y,z+1/2'
'x+1/2,y,-z+1/2'
'x+1/2,-y+1/2,-z+1/2'
'-x+1/2,y+1/2,z+1/2'
'-x,y+1/2,-z'
'x,-y+1/2,z'
loop_
_atom_site_label
_atom_site_fract_x
_atom_site_fract_y
_atom_site_fract_z
Pa1 0.9996 0.2500 0.0805
Bi1 0.1828 0.0176 0.4989
Se1 0.0024 0.2500 0.4468
Se2 0.0869 0.0432 0.8368
Se3 0.1842 0.7500 0.1481
Se4 0.2237 0.2500 0.1869
```